Record 1
# LiPuNp2As4

LiPuNp2As4 after structural relaxation (PBE, Alexandria via LeMat-Bulk).

## Properties
For the total magnetic moment, the calculation gives 0.66 μB per atom. The calculation puts the formation energy at -0.621 eV per atom. Its total energy is -65.69 eV per formula unit. The density of states at the Fermi level is 29.367 states/eV/f.u.

Cell lengths 4.145, 7.044, 7.037 Å; angles 109.74, 90.00, 90.00 degrees
Site moments in Bohr magnetons follow the coordinates.
Atoms (fractional coordinates):
1 Li 0.500 0.500 0.000  0.00
2 Pu 0.000 0.000 0.000  -5.06
3 Np 0.500 0.000 0.500  3.49
4 Np 0.000 0.500 0.500  -3.57
5 As 0.500 0.251 0.254  0.08
6 As 0.500 0.749 0.746  0.08
7 As 0.000 0.246 0.741  0.01
8 As 0.000 0.754 0.259  0.01

---

Record 2
# LiNpAs2Rh5

LiNpAs2Rh5 after structural relaxation (PBE, Alexandria via LeMat-Bulk).

## Properties
For the total magnetic moment, the calculation gives 0.19 μB per atom. The calculation puts the formation energy at -0.477 eV per atom. Its total energy is -65.20 eV per formula unit. The density of states at the Fermi level is 13.459 states/eV/f.u.

Cell lengths 4.083, 4.083, 9.094 Å; angles 90.00, 90.00, 90.00 degrees
Site moments in Bohr magnetons follow the coordinates.
Atoms (fractional coordinates):
1 Li 0.000 0.000 0.000  0.00
2 Np 0.000 0.000 0.500  2.53
3 As 0.500 0.500 0.136  0.00
4 As 0.500 0.500 0.864  0.00
5 Rh 0.000 0.500 0.279  -0.15
6 Rh 0.500 0.000 0.279  -0.15
7 Rh 0.000 0.500 0.721  -0.15
8 Rh 0.500 0.000 0.721  -0.15
9 Rh 0.500 0.500 0.500  -0.24